1.
This record from the Alexandria database describes a crystal of NaBiPt2F relaxed with PBEsol. The functional is meta-GGA SCAN.

Its raw formation energy is 15.5 kJ/mol of atoms. The density comes out at 11.7 g/cm³. The calculation puts the magnetic moment at 0.000 μB per cell. The calculation puts the total energy at -45.18 eV/atom.

The structure in POSCAR format:
```
NaBiPt2F
1.0
4.860 0.000 0.000
0.000 4.860 0.000
0.000 0.000 3.840
Na Bi Pt F
1 1 2 1
Direct
0.000 0.000 0.000 Na
0.500 0.500 0.500 Bi
0.000 0.500 0.000 Pt
0.500 0.000 0.000 Pt
0.000 0.000 0.500 F
```

=====

2.
This record from the Alexandria database describes a crystal of NbBi2F relaxed with PBEsol. The functional is meta-GGA SCAN.

Its raw formation energy is 13.5 kJ/mol of atoms. The density comes out at 7.9 g/cm³. The calculation puts the magnetic moment at 0.000 μB per cell. The calculation puts the total energy at -48.32 eV/atom.

The structure in POSCAR format:
```
NbBi2F
1.0
-2.909 2.909 6.561
2.909 -2.909 6.561
2.909 2.909 -6.561
Nb Bi F
2 4 2
Direct
0.000 0.000 0.000 Nb
0.750 0.250 0.500 Nb
0.158 0.625 0.033 Bi
0.375 0.408 0.533 Bi
0.592 0.125 0.967 Bi
0.875 0.842 0.467 Bi
0.250 0.750 0.500 F
0.500 0.500 0.000 F
```